The following is a GGA-PBE calculation of NaAcHgPd after structural relaxation, from the Alexandria database.

For the magnetization, the calculation gives 0.000 μB/cell. As for the energy of formation from the pure elements: -0.378 eV/atom. The value obtained for the total energy is -3.1089 eV/atom. The calculation puts the density of states at the Fermi level at 0.78 states/eV/atom.

The structure belongs to space group F-43m (No. 216); the cell edges are 7.546, 7.546 and 7.546 Å and the angles 90.00°, 90.00° and 90.00°. Symmetry generates all atoms from Na at (0.000, 0.000, 0.000), Ac at (0.000, 0.000, 0.500), Hg at (0.250, 0.250, 0.250) and Pd at (0.250, 0.250, 0.750).